# 1
Al2TeBr after structural relaxation. Source: the Alexandria database, functional PBE-GGA.

Properties
The value obtained for the formation energy (no corrections) is 0.05 eV per atom. Its space-group type is No. 12. Its crystal system is monoclinic. The value obtained for the density is 4.182 g/cm3. The energy above the most stable polymorph in this dataset is 0.381 eV/atom.

abc: 7.3490 5.3229 3.8464
angles: 77.56 77.80 127.88
Closest atoms and distances in Å follow each position.
Fractional coordinates of all 4 atoms:
1 Al 0.0000 0.0000 0.0000  2 Br 2.93, 2 Te 2.93
2 Al 0.5000 0.0000 0.5000  2 Te 2.93, 2 Br 2.93
3 Te 0.5000 0.5000 0.0000  4 Al 2.93
4 Br 0.0000 0.5000 0.5000  4 Al 2.93

=====

# 2
Pa3BiS8 after structural relaxation. Source: the Alexandria database, functional PBE-GGA.

Properties
The value obtained for the formation energy (no corrections) is -1.31 eV per atom. Its space-group type is No. 166. Its crystal system is trigonal. The value obtained for the density is 5.050 g/cm3.

abc: 8.1410 8.1410 8.1328
angles: 59.97 59.97 60.00
Closest atoms and distances in Å follow each position.
Fractional coordinates of all 12 atoms:
1 Pa 0.5000 0.0000 0.0000  6 S 2.70-2.72
2 S 0.7136 0.2542 0.7780  2 Pa 2.70, 1 Bi 2.84
3 S 0.7458 0.2864 0.2220  2 Pa 2.70, 1 Bi 2.84
4 S 0.2542 0.7136 0.7780  2 Pa 2.70, 1 Bi 2.84
5 Pa 0.5000 0.5000 0.0000  6 S 2.70-2.72
6 S 0.7458 0.7458 0.2220  2 Pa 2.70, 1 Bi 2.84
7 S 0.2542 0.2542 0.7780  2 Pa 2.70, 1 Bi 2.84
8 S 0.2864 0.7458 0.2220  2 Pa 2.70, 1 Bi 2.84
9 S 0.7356 0.7356 0.7931  3 Pa 2.72
10 Bi 0.5000 0.5000 0.5000  6 S 2.84
11 Pa 0.0000 0.5000 0.0000  6 S 2.70-2.72
12 S 0.2644 0.2644 0.2069  3 Pa 2.72

=====

# 3
Zr4U3Se12 after structural relaxation. Source: the Alexandria database, functional PBE-GGA.

Properties
The value obtained for the formation energy (no corrections) is -1.04 eV per atom. Its space-group type is No. 204. Its crystal system is cubic. The value obtained for the density is 6.228 g/cm3.

abc: 8.8870 8.8870 8.8870
angles: 109.47 109.47 109.47
Closest atoms and distances in Å follow each position.
Fractional coordinates of all 19 atoms:
1 U 0.5000 0.0000 0.5000  4 Se 2.88
2 Se 0.3073 0.1030 0.7957  2 Zr 2.67, 1 U 2.88
3 Se 0.6927 0.4884 0.7957  2 Zr 2.67, 1 U 2.88
4 Se 0.6927 0.8970 0.2043  2 Zr 2.67, 1 U 2.88
5 Zr 0.0000 0.0000 0.5000  6 Se 2.67
6 Se 0.2043 0.6927 0.8970  2 Zr 2.67, 1 U 2.88
7 Se 0.1030 0.7957 0.3073  2 Zr 2.67, 1 U 2.88
8 Se 0.3073 0.5116 0.2043  2 Zr 2.67, 1 U 2.88
9 Zr 0.5000 0.5000 0.5000  6 Se 2.67
10 Se 0.2043 0.3073 0.5116  2 Zr 2.67, 1 U 2.88
11 U 0.5000 0.5000 0.0000  4 Se 2.88
12 Se 0.4884 0.7957 0.6927  2 Zr 2.67, 1 U 2.88
13 Se 0.8970 0.2043 0.6927  2 Zr 2.67, 1 U 2.88
14 Se 0.5116 0.2043 0.3073  2 Zr 2.67, 1 U 2.88
15 Zr 0.0000 0.5000 0.0000  6 Se 2.67
16 Zr 0.5000 0.0000 0.0000  6 Se 2.67
17 Se 0.7957 0.3073 0.1030  2 Zr 2.67, 1 U 2.88
18 Se 0.7957 0.6927 0.4884  2 Zr 2.67, 1 U 2.88
19 U 0.0000 0.5000 0.5000  4 Se 2.88

=====

# 4
Pu8CuPd5 after structural relaxation. Source: the Alexandria database, functional PBE-GGA.

Properties
The energy of formation comes out at -3.0 eV/f.u. Its space-group type is No. 82. Its crystal system is tetragonal. The value obtained for the density is 12.694 g/cm3.

abc: 7.5650 7.5650 7.5650
angles: 109.32 109.78 109.32
Closest atoms and distances in Å follow each position.
Fractional coordinates of all 14 atoms:
1 Cu 0.2500 0.5000 0.7500  8 Pu 2.92-3.11
2 Pu 0.6221 0.3932 0.8734  5 Pd 2.92-3.15, 1 Cu 3.11
3 Pu 0.1266 0.7488 0.5198  5 Pd 2.92-3.15, 1 Cu 3.11
4 Pu 0.4802 0.6068 0.2290  5 Pd 2.92-3.15, 1 Cu 3.11
5 Pu 0.2693 0.2516 0.3753  5 Pd 2.91-3.14, 1 Cu 2.92
6 Pu 0.6247 0.8940 0.8763  5 Pd 2.91-3.14, 1 Cu 2.92
7 Pu 0.9823 0.1060 0.7307  5 Pd 2.91-3.14, 1 Cu 2.92
8 Pd 0.5000 0.0000 0.5000  8 Pu 2.92-3.14
9 Pu 0.1237 0.7484 0.0177  5 Pd 2.91-3.14, 1 Cu 2.92
10 Pu 0.7710 0.2512 0.3779  5 Pd 2.92-3.15, 1 Cu 3.11
11 Pd 0.8771 0.8750 0.2506  8 Pu 2.91-3.15
12 Pd 0.9979 0.3736 0.1229  8 Pu 2.91-3.15
13 Pd 0.7494 0.6264 0.6244  8 Pu 2.91-3.15
14 Pd 0.3756 0.1250 0.0021  8 Pu 2.91-3.15

=====

# 5
Li2Tl2SnHg5 after structural relaxation. Source: the Alexandria database, functional PBE-GGA.

Properties
The energy of formation comes out at -1.1 eV/f.u. Its space-group type is No. 127. Its crystal system is tetragonal. The value obtained for the density is 10.235 g/cm3.

abc: 3.4455 12.0597 12.0597
angles: 90.00 90.00 90.00
Closest atoms and distances in Å follow each position.
Fractional coordinates of all 20 atoms:
1 Hg 0.5000 0.7086 0.4462  2 Li 2.76
2 Li 0.0000 0.8710 0.3710  6 Hg 2.76-2.79
3 Hg 0.5000 0.4462 0.2914  2 Li 2.76
4 Hg 0.5000 0.5000 0.0000  4 Li 2.79
5 Hg 0.5000 0.2086 0.0538  2 Li 2.76
6 Sn 0.0000 0.5000 0.5000  8 Hg 3.12, 2 Sn 3.45
7 Tl 0.0000 0.6793 0.1793  1 Li 3.27, 2 Tl 3.45, 6 Hg 3.51-3.56
8 Hg 0.5000 0.0000 0.5000  4 Li 2.79
9 Li 0.0000 0.6290 0.8710  6 Hg 2.76-2.79
10 Sn 0.0000 0.0000 0.0000  8 Hg 3.12, 2 Sn 3.45
11 Hg 0.5000 0.0538 0.7914  2 Li 2.76
12 Li 0.0000 0.1290 0.6290  6 Hg 2.76-2.79
13 Hg 0.5000 0.2914 0.5538  2 Li 2.76
14 Tl 0.0000 0.3207 0.8207  1 Li 3.27, 2 Tl 3.45, 6 Hg 3.51-3.56
15 Tl 0.0000 0.1793 0.3207  1 Li 3.27, 2 Tl 3.45, 6 Hg 3.51-3.56
16 Li 0.0000 0.3710 0.1290  6 Hg 2.76-2.79
17 Tl 0.0000 0.8207 0.6793  1 Li 3.27, 2 Tl 3.45, 6 Hg 3.51-3.56
18 Hg 0.5000 0.5538 0.7086  2 Li 2.76
19 Hg 0.5000 0.7914 0.9462  2 Li 2.76
20 Hg 0.5000 0.9462 0.2086  2 Li 2.76

=====

# 6
MgTa3 after structural relaxation. Source: the Alexandria database, functional PBE-GGA.

Properties
The energy of formation comes out at 1.1 eV/f.u. Its space-group type is No. 44. Its crystal system is orthorhombic. The value obtained for the density is 12.640 g/cm3. The energy above the most stable polymorph in this dataset is 0.137 eV/atom.

abc: 5.7851 5.7851 5.7851
angles: 152.27 123.46 64.13
Closest atoms and distances in Å follow each position.
Fractional coordinates of all 4 atoms:
1 Mg 0.5640 0.2500 0.3140  2 Mg 2.77, 10 Ta 2.91-3.10
2 Ta 0.0583 0.7500 0.3083  8 Ta 2.77-3.03, 4 Mg 3.04-3.10
3 Ta 0.5199 0.4977 0.0222  9 Ta 2.77-3.07, 3 Mg 2.91-3.06
4 Ta 0.0245 0.0023 0.0222  9 Ta 2.77-3.07, 3 Mg 2.91-3.06

=====

# 7
NaTiPtF2 after structural relaxation. Source: the Alexandria database, functional PBE-GGA.

Properties
The value obtained for the formation energy (no corrections) is -1.18 eV per atom. Its space-group type is No. 123. Its crystal system is tetragonal. The value obtained for the density is 4.898 g/cm3.

abc: 3.8998 6.7747 3.8998
angles: 90.00 90.00 90.00
Closest atoms and distances in Å follow each position.
Fractional coordinates of all 5 atoms:
1 Pt 0.5000 0.5000 0.5000  4 Na 2.76
2 Na 0.0000 0.5000 0.0000  4 Pt 2.76
3 F 0.5000 0.0000 0.0000  2 Ti 1.95
4 Ti 0.0000 0.0000 0.0000  4 F 1.95
5 F 0.0000 0.0000 0.5000  2 Ti 1.95

=====

# 8
KZnCu2 after structural relaxation. Source: the Alexandria database, functional PBE-GGA.

Properties
The energy of formation comes out at 2.2 eV/f.u. Its space-group type is No. 65. Its crystal system is orthorhombic. The value obtained for the density is 5.243 g/cm3.

abc: 5.1422 5.1422 2.7741
angles: 90.00 90.00 90.32
Closest atoms and distances in Å follow each position.
Fractional coordinates of all 4 atoms:
1 Zn 0.0000 0.5000 0.5000  2 Zn 2.77, 8 Cu 2.92
2 Cu 0.5000 0.5000 0.0000  2 Cu 2.77, 4 Zn 2.92, 4 K 2.92
3 K 0.5000 0.0000 0.5000  2 K 2.77, 8 Cu 2.92
4 Cu 0.0000 0.0000 0.0000  2 Cu 2.77, 4 K 2.92, 4 Zn 2.92

=====

# 9
Na2PaMn2Te6 after structural relaxation. Source: the Alexandria database, functional PBE-GGA.

Properties
The value obtained for the formation energy (no corrections) is -0.59 eV per atom. Its space-group type is No. 12. Its crystal system is monoclinic. The value obtained for the density is 5.564 g/cm3.

abc: 7.0911 7.0911 8.1337
angles: 98.71 98.71 118.32
Closest atoms and distances in Å follow each position.
Fractional coordinates of all 11 atoms:
1 Te 0.7123 0.7123 0.7090  2 Mn 2.83, 1 Pa 3.06
2 Na 0.8417 0.1583 0.0000  6 Te 3.21-3.28
3 Te 0.9352 0.5844 0.2795  2 Mn 2.82-2.96, 1 Pa 3.00
4 Mn 0.3298 0.6702 0.5000  6 Te 2.82-2.96
5 Te 0.4156 0.0648 0.7205  2 Mn 2.82-2.96, 1 Pa 3.00
6 Mn 0.6702 0.3298 0.5000  6 Te 2.82-2.96
7 Te 0.5844 0.9352 0.2795  2 Mn 2.82-2.96, 1 Pa 3.00
8 Te 0.2877 0.2877 0.2910  2 Mn 2.83, 1 Pa 3.06
9 Na 0.1583 0.8417 0.0000  6 Te 3.21-3.28
10 Pa 0.0000 0.0000 0.5000  6 Te 3.00-3.06
11 Te 0.0648 0.4156 0.7205  2 Mn 2.82-2.96, 1 Pa 3.00

=====

# 10
Hf2TaH after structural relaxation. Source: the Alexandria database, functional PBE-GGA.

Properties
Its space-group type is No. 122. Its crystal system is tetragonal. The value obtained for the density is 13.360 g/cm3. The energy above the most stable polymorph in this dataset is 0.000 eV/atom.

abc: 6.6034 6.6034 5.5895
angles: 53.79 53.79 90.00
Closest atoms and distances in Å follow each position.
Fractional coordinates of all 8 atoms:
1 Hf 0.3750 0.7820 0.7500  2 H 2.10
2 Hf 0.5320 0.6250 0.2500  2 H 2.10
3 Ta 0.7500 0.2500 0.5000  8 Hf 2.91-3.02, 2 H 3.07
4 H 0.2500 0.7500 0.5000  4 Hf 2.10
5 Ta 0.0000 0.0000 0.0000  8 Hf 2.91-3.02, 2 H 3.07
6 Hf 0.8750 0.4680 0.7500  2 H 2.10
7 H 0.5000 0.5000 0.0000  4 Hf 2.10
8 Hf 0.2180 0.1250 0.2500  2 H 2.10

=====

Summary of total moment in μB per formula unit
0.00, 2.07, 9.64, 45.99, 0.00, 0.00, 1.21, 0.00, 9.00, 0.00
(order as listed above)
Summary of final energy in eV per atom
-3.024, -6.755, -6.822, -10.553, -1.518, -9.015, -4.980, -2.098, -5.072, -8.554
(order as listed above)
Summary of calculated volume in Å³/cell
103.82, 380.94, 540.31, 333.26, 501.10, 74.51, 103.03, 73.35, 343.97, 133.97
(order as listed above)